The following is a GGA-PBE calculation of a relaxed structure of K2MnVAs, from Alexandria via LeMat-Bulk.

Calculated values
**Space group**: P4/mmm (123)
**D(E_F)**: 9.45 states/eV/cell
**Formation energy**: 0.919 eV/atom
**Calculated density**: 2.2 g/cm3
**Magnetization**: 0.277 μB per cell

a b c (Å): 6.560 6.560 4.552
angles (deg): 90.00 90.00 90.00
Fractional coordinates of all 5 atoms:
K 0.000 0.500 0.000
K 0.500 0.000 0.000
Mn 0.000 0.000 0.000
V 0.500 0.500 0.500
As 0.000 0.000 0.500